Material: PmCrP2O8
Method: DFT, GGA+U
State: relaxed

Summary:
Crystal system: tetragonal
Final energy, eV per cell: -91.0

a = 5.708 Å, b = 5.708 Å, c = 5.708 Å
α = 106.21°, β = 106.21°, γ = 116.21°
Atoms (fractional coordinates):
Pm1 0.000 0.000 0.000
Cr1 0.250 0.750 0.500
P1 0.500 0.500 0.000
P2 0.750 0.250 0.500
O1 0.342 0.160 0.819
O2 0.342 0.523 0.181
O3 0.412 0.082 0.329
O4 0.477 0.658 0.819
O5 0.753 0.082 0.671
O6 0.840 0.658 0.181
O7 0.918 0.247 0.329
O8 0.918 0.588 0.671